Run A
Entry from Alexandria: a relaxed AcAsO crystal (GGA-PBE).

Lattice parameters (Å, degrees): 3.7718 3.7718 17.1681 90.00 90.00 90.00
Space group I4/mmm (No. 139)
Asymmetric unit:
Ac  0.0000  0.0000  0.1602
As  0.0000  0.5000  0.0000
O  0.0000  0.0000  0.3053

=====

Run B
Entry from Alexandria: a relaxed AcAsO crystal (GGA-PBE).

Lattice parameters (Å, degrees): 4.2604 14.4334 4.4257 90.00 90.00 90.00
Space group Cmcm (No. 63)
Asymmetric unit:
Ac  0.0000  0.1644  0.2500
As  0.0000  0.4621  0.2500
O  0.0000  0.2493  0.7500

=====

Which of them is the most stable? Correct choice: run B.

=====

Run A
Entry from Alexandria: a relaxed Ac2AsO5 crystal (GGA-PBE).

Lattice parameters (Å, degrees): 10.0545 8.0326 7.2010 90.00 106.05 90.00
Space group P2_1/c (No. 14)
Asymmetric unit:
Ac  0.0180  0.1214  0.2415
Ac  0.3825  0.1492  0.1054
As  0.2946  0.5784  0.0712
O  0.1002  0.6390  0.9606
O  0.1207  0.1149  0.9601
O  0.2836  0.0835  0.3916
O  0.4033  0.0570  0.7728
O  0.4126  0.7232  0.0301

=====

Run B
Entry from Alexandria: a relaxed Ac2AsO5 crystal (GGA-PBE).

Lattice parameters (Å, degrees): 5.7069 5.7069 7.4929 90.00 90.00 90.00
Space group I4mm (No. 107)
Asymmetric unit:
Ac  0.0000  0.5000  0.0000
As  0.0000  0.0000  0.2510
O  0.0000  0.0000  0.4859
O  0.2344  0.2344  0.2371

=====

Which of them is the most stable? Correct choice: run A.

=====

Run A
Entry from Alexandria: a relaxed AcAs2P crystal (GGA-PBE).

Lattice parameters (Å, degrees): 4.0022 4.0022 5.9423 90.00 90.00 90.00
Space group P4/mmm (No. 123)
Asymmetric unit:
Ac  0.0000  0.0000  0.0000
As  0.5000  0.5000  0.2942
P  0.0000  0.0000  0.5000

=====

Run B
Entry from Alexandria: a relaxed AcAs2P crystal (GGA-PBE).

Lattice parameters (Å, degrees): 4.7357 4.7357 15.0877 90.00 90.00 120.00
Space group R-3m (No. 166, hexagonal axes)
Asymmetric unit:
Ac  0.0000  0.0000  0.0000
As  0.0000  0.0000  0.2053
P  0.0000  0.0000  0.5000

=====

Run C
Entry from Alexandria: a relaxed AcAs2P crystal (GGA-PBE).

Lattice parameters (Å, degrees): 4.3987 4.3987 4.7588 90.00 90.00 90.00
Space group P4/mmm (No. 123)
Asymmetric unit:
Ac  0.0000  0.0000  0.0000
As  0.0000  0.5000  0.5000
P  0.5000  0.5000  0.0000

=====

Which of them is the most stable? Correct choice: run C.

=====

Run A
Entry from Alexandria: a relaxed AcAsP2 crystal (GGA-PBE).

Lattice parameters (Å, degrees): 3.8608 3.8608 5.9523 90.00 90.00 90.00
Space group P4/mmm (No. 123)
Asymmetric unit:
Ac  0.0000  0.0000  0.0000
As  0.0000  0.0000  0.5000
P  0.5000  0.5000  0.3106

=====

Run B
Entry from Alexandria: a relaxed AcAsP2 crystal (GGA-PBE).

Lattice parameters (Å, degrees): 4.6537 4.6537 14.6658 90.00 90.00 120.00
Space group R-3m (No. 166, hexagonal axes)
Asymmetric unit:
Ac  0.0000  0.0000  0.0000
As  0.0000  0.0000  0.5000
P  0.0000  0.0000  0.2081

=====

Run C
Entry from Alexandria: a relaxed AcAsP2 crystal (GGA-PBE).

Lattice parameters (Å, degrees): 4.6072 4.6072 4.1567 90.00 90.00 90.00
Space group P4/mmm (No. 123)
Asymmetric unit:
Ac  0.0000  0.0000  0.0000
As  0.5000  0.5000  0.0000
P  0.0000  0.5000  0.5000

=====

Which of them is the most stable? Correct choice: run B.